Entry from Alexandria via LeMat-Bulk: a relaxed structure of Nd2Ni3Ge (PBE).

Unit cell a=5.7376 b=5.7376 c=8.1669 alpha=109.93 beta=109.93 gamma=91.69
Closest atoms and distances in Å follow each position.
Fractional coordinates of all 12 atoms:
1 Nd 0.2500 0.7500 0.5000  8 Ni 3.10-3.11, 4 Ge 3.11
2 Nd 0.7587 0.7587 0.0000  10 Ni 3.06-3.15, 2 Ge 3.14
3 Nd 0.7500 0.2500 0.5000  8 Ni 3.10-3.11, 4 Ge 3.11
4 Nd 0.2413 0.2413 0.0000  10 Ni 3.06-3.15, 2 Ge 3.14
5 Ni 0.6674 0.1665 0.8338  2 Ni 2.37, 1 Ge 2.37
6 Ni 0.8335 0.3326 0.1662  2 Ni 2.37, 1 Ge 2.37
7 Ni 0.3326 0.8335 0.1662  2 Ni 2.37, 1 Ge 2.37
8 Ni 0.1665 0.6674 0.8338  2 Ni 2.37, 1 Ge 2.37
9 Ni 0.8333 0.8333 0.6666  2 Ni 2.37, 1 Ge 2.39
10 Ni 0.1667 0.1667 0.3334  2 Ni 2.37, 1 Ge 2.39
11 Ge 0.3342 0.3342 0.6684  3 Ni 2.37-2.39
12 Ge 0.6658 0.6658 0.3316  3 Ni 2.37-2.39

Results
Theoretical density, g/cm³: 7.61
DFT total energy, eV/atom: -5.724

=====

Entry from Alexandria via LeMat-Bulk: a relaxed structure of Na2InGaSe (PBE).

Unit cell a=5.7377 b=5.0719 c=5.7377 alpha=90.00 beta=90.00 gamma=90.00
Closest atoms and distances in Å follow each position.
Fractional coordinates of all 5 atoms:
1 Na 0.0000 0.0000 0.5000  2 In 2.87
2 Na 0.5000 0.0000 0.0000  2 In 2.87
3 Ga 0.0000 0.5000 0.0000  2 In 2.54
4 Se 0.5000 0.5000 0.5000  8 Na 3.83, 4 Ga 4.06
5 In 0.0000 0.0000 0.0000  2 Ga 2.54

Results
Theoretical density, g/cm³: 3.08
DFT total energy, eV/atom: -2.162

=====

> Number 2 is which compound?

Na2InGaSe